No. 1
{
  "formula": "CsRbSn2Cl6",
  "functional": "PBE",
  "state": "relaxed",
  "cell": [[5.9125, -7.8262, 0.0000], [5.9125, 7.8262, 0.0000], [-5.2180, 0.0000, 9.0252]],
  "species": ["Cs", "Cs", "Rb", "Rb", "Sn", "Sn", "Sn", "Sn", "Cl", "Cl", "Cl", "Cl", "Cl", "Cl", "Cl", "Cl", "Cl", "Cl", "Cl", "Cl"],
  "frac_coords": [[0.0820, 0.9180, 0.7500], [0.9180, 0.0820, 0.2500], [0.2641, 0.7359, 0.2500], [0.7359, 0.2641, 0.7500], [0.2576, 0.4598, 0.8016], [0.4598, 0.2576, 0.3016], [0.5402, 0.7424, 0.6984], [0.7424, 0.5402, 0.1984], [0.0186, 0.2055, 0.6364], [0.0852, 0.6014, 0.8611], [0.2055, 0.0186, 0.1364], [0.3064, 0.3999, 0.0271], [0.3986, 0.9148, 0.6389], [0.3999, 0.3064, 0.5271], [0.6001, 0.6936, 0.4729], [0.6014, 0.0852, 0.3611], [0.6936, 0.6001, 0.9729], [0.7945, 0.9814, 0.8636], [0.9148, 0.3986, 0.1389], [0.9814, 0.7945, 0.3636]],
  "e_form_raw_ev_per_atom": -1.419
}

=====

No. 2
{
  "formula": "AcLaThPb",
  "functional": "PBE",
  "state": "relaxed",
  "cell": [[0.0000, 4.0836, 4.0836], [4.0836, 0.0000, 4.0836], [4.0836, 4.0836, 0.0000]],
  "species": ["Ac", "La", "Th", "Pb"],
  "frac_coords": [[0.0000, 0.0000, 0.0000], [0.7500, 0.7500, 0.7500], [0.2500, 0.2500, 0.2500], [0.5000, 0.5000, 0.5000]],
  "formation_energy_ev_per_atom": -0.031
}

=====

No. 3
{
  "formula": "Cs2RbTlBr4",
  "functional": "PBE",
  "state": "relaxed",
  "cell": [[8.7148, 0.0000, 0.0000], [0.0000, 5.0453, 0.0000], [-2.9108, 0.0000, 8.2273]],
  "species": ["Cs", "Cs", "Rb", "Tl", "Br", "Br", "Br", "Br"],
  "frac_coords": [[0.0000, 0.0000, 0.0000], [0.5000, 0.5000, 0.0000], [0.0000, 0.5000, 0.5000], [0.5000, 0.0000, 0.5000], [0.2481, 0.0000, 0.7328], [0.2599, 0.5000, 0.2691], [0.7401, 0.5000, 0.7309], [0.7519, 0.0000, 0.2672]],
  "e_form_raw_ev_per_atom": -1.542
}

=====

Raw total energy per entry: -70.19; -20.29; -24.07 eV/cell